Here is a relaxed structure of La8CoOs3I4 from Alexandria via LeMat-Bulk. Energies are from PBE.

Values from the calculation:
* total magnetization: 0.00 μB/cell
* space-group type: No. 166
* raw formation energy: -679 meV/atom

Cell: 9.5521 9.5521 9.5521 Å, 52.50 52.50 52.50°
Atoms (fractional coordinates):
La 0.2274 0.7278 0.7278
La 0.2284 0.2284 0.2284
La 0.2722 0.2722 0.7726
La 0.2722 0.7726 0.2722
La 0.7278 0.2274 0.7278
La 0.7278 0.7278 0.2274
La 0.7716 0.7716 0.7716
La 0.7726 0.2722 0.2722
Co 0.5000 0.5000 0.5000
Os 0.0000 0.0000 0.5000
Os 0.0000 0.5000 0.0000
Os 0.5000 0.0000 0.0000
I 0.0000 0.0000 0.0000
I 0.0000 0.5000 0.5000
I 0.5000 0.0000 0.5000
I 0.5000 0.5000 0.0000


Here is a relaxed structure of La6CoOs2I3 from Alexandria via LeMat-Bulk. Energies are from PBE.

Values from the calculation:
* total magnetization: 0.00 μB/cell
* space-group type: No. 12
* raw formation energy: -683 meV/atom

Cell: 7.2893 7.2893 8.5799 Å, 98.15 98.15 120.00°
Atoms (fractional coordinates):
La 0.0612 0.3934 0.1837
La 0.2710 0.2710 0.8162
La 0.3934 0.0612 0.1837
La 0.6066 0.9388 0.8163
La 0.7290 0.7290 0.1838
La 0.9388 0.6066 0.8163
Co 0.0000 0.0000 0.0000
Os 0.3334 0.6666 0.0000
Os 0.6666 0.3334 0.0000
I 0.1677 0.8323 0.5000
I 0.5000 0.5000 0.5000
I 0.8323 0.1677 0.5000


Here is a relaxed structure of La4CoOsI2 from Alexandria via LeMat-Bulk. Energies are from PBE.

Values from the calculation:
* total magnetization: 0.00 μB/cell
* space-group type: No. 10
* raw formation energy: -686 meV/atom

Cell: 7.2277 4.1994 8.5983 Å, 90.00 106.46 90.00°
Atoms (fractional coordinates):
La 0.2262 0.0000 0.1817
La 0.2714 0.5000 0.8152
La 0.7286 0.5000 0.1848
La 0.7738 0.0000 0.8183
Co 0.0000 0.5000 0.0000
Os 0.5000 0.0000 0.0000
I 0.0000 0.0000 0.5000
I 0.5000 0.5000 0.5000


Here is a relaxed structure of La6Co2OsI3 from Alexandria via LeMat-Bulk. Energies are from PBE.

Values from the calculation:
* total magnetization: 0.00 μB/cell
* space-group type: No. 12
* raw formation energy: -691 meV/atom

Cell: 7.2062 7.2062 8.5993 Å, 98.03 98.03 120.00°
Atoms (fractional coordinates):
La 0.1033 0.4390 0.8171
La 0.2254 0.2254 0.1830
La 0.4390 0.1033 0.8171
La 0.5610 0.8967 0.1829
La 0.7746 0.7746 0.8170
La 0.8967 0.5610 0.1829
Co 0.1667 0.8333 0.0000
Co 0.8333 0.1667 0.0000
Os 0.5000 0.5000 0.0000
I 0.0000 0.0000 0.5000
I 0.3341 0.6659 0.5000
I 0.6659 0.3341 0.5000


Here is a relaxed structure of La8Co3PI3 from Alexandria via LeMat-Bulk. Energies are from PBE.

Values from the calculation:
* total magnetization: 0.43 μB/cell
* space-group type: No. 12
* raw formation energy: -686 meV/atom

Cell: 8.5367 8.5367 9.2302 Å, 116.90 116.90 57.28°
Atoms (fractional coordinates):
La 0.2163 0.7514 0.6921
La 0.2395 0.2395 0.6862
La 0.2486 0.7837 0.3079
La 0.2648 0.2648 0.3193
La 0.7352 0.7352 0.6807
La 0.7514 0.2163 0.6921
La 0.7605 0.7605 0.3138
La 0.7837 0.2486 0.3079
Co 0.0000 0.0000 0.5000
Co 0.0000 0.5000 0.5000
Co 0.5000 0.0000 0.5000
P 0.5000 0.5000 0.5000
I 0.0000 0.5000 0.0000
I 0.5000 0.0000 0.0000
I 0.5000 0.5000 0.0000


Here is a relaxed structure of La8CoP3I4 from Alexandria via LeMat-Bulk. Energies are from PBE.

Values from the calculation:
* total magnetization: 0.69 μB/cell
* space-group type: No. 12
* raw formation energy: -1232 meV/atom

Cell: 8.6063 8.6063 9.2697 Å, 117.56 117.56 59.69°
Atoms (fractional coordinates):
La 0.2199 0.7474 0.6880
La 0.2301 0.2301 0.6952
La 0.2526 0.7801 0.3120
La 0.2684 0.2684 0.3049
La 0.7316 0.7316 0.6951
La 0.7474 0.2199 0.6880
La 0.7699 0.7699 0.3048
La 0.7801 0.2526 0.3120
Co 0.0000 0.0000 0.5000
P 0.0000 0.5000 0.5000
P 0.5000 0.0000 0.5000
P 0.5000 0.5000 0.5000
I 0.0000 0.0000 0.0000
I 0.0000 0.5000 0.0000
I 0.5000 0.0000 0.0000
I 0.5000 0.5000 0.0000